# SCAN SrTaRu2Se, PBEsol geometry
data_SrTaRu2Se
_space_group_name_H-M_alt 'P 4/m m m'
_space_group_IT_number 123
_space_group_name_Hall '-P 4 2'
_cell_length_a 4.692
_cell_length_b 4.692
_cell_length_c 5.058
_cell_angle_alpha 90.00
_cell_angle_beta 90.00
_cell_angle_gamma 90.00
loop_
_atom_site_label
_atom_site_type_symbol
_atom_site_fract_x
_atom_site_fract_y
_atom_site_fract_z
Sr1 Sr 0.000 0.000 0.000
Ta1 Ta 0.000 0.000 0.500
Ru1 Ru 0.000 0.500 0.000
Se1 Se 0.500 0.500 0.500
# E_form (uncorrected)	2.933	eV/atom